A plane-wave DFT calculation with PBE-GGA was carried out for crystalline PaMnPd2 at its relaxed geometry.

Properties
Calculated density = 12.2 g/cm3
Excess energy over the best structure of this formula in the dataset = 0.0 kJ per mole of atoms
E_form = -0.420 eV/atom

Cell lengths 3.9947, 3.9947, 4.2566 Å; angles 90.00, 90.00, 90.00 degrees
Space group P4/mmm (No. 123)
Inequivalent atoms, fractional coordinates:
Pa 0.0000 0.0000 0.0000 x1
Mn 0.5000 0.5000 0.0000 x1
Pd 0.0000 0.5000 0.5000 x2



A plane-wave DFT calculation with PBE-GGA was carried out for crystalline Ce2HgP at its relaxed geometry.

Properties
Calculated density = 7.7 g/cm3
Excess energy over the best structure of this formula in the dataset = 0.0 kJ per mole of atoms
E_form = -0.812 eV/atom

Cell lengths 3.9714, 3.9714, 24.1007 Å; angles 90.00, 90.00, 120.00 degrees
Space group R3m (No. 160, hexagonal axes)
Inequivalent atoms, fractional coordinates:
Ce 0.0000 0.0000 0.0000 x3
Ce 0.0000 0.0000 0.1960 x3
Hg 0.0000 0.0000 0.4312 x3
P 0.0000 0.0000 0.5986 x3



A plane-wave DFT calculation with PBE-GGA was carried out for crystalline K12P3Au5 at its relaxed geometry.

Properties
Calculated density = 2.9 g/cm3
E_form = -0.118 eV/atom

Cell lengths 19.1954, 19.1954, 19.1954 Å; angles 90.00, 90.00, 90.00 degrees
Space group Ia-3d (No. 230)
Inequivalent atoms, fractional coordinates:
K 0.0154 0.0766 0.6548 x96
P 0.0000 0.2500 0.1250 x24
Au 0.0000 0.0000 0.0000 x16
Au 0.0000 0.2500 0.3750 x24